# 1
Computed, not measured: crystalline Tc2SbMo at its relaxed geometry at the PBE level of DFT.

The structure in extended XYZ format:
```
8
Lattice="-3.085 3.085 4.965 3.085 -3.085 4.965 3.085 3.085 -4.965" Properties=species:S:1:pos:R:3 pbc="T T T"
Tc 4.627 1.394 -1.241
Tc 1.394 1.542 1.241
Tc -1.542 1.691 3.724
Tc 1.691 1.542 6.207
Sb 3.085 0.000 2.483
Sb 0.000 0.000 4.965
Mo 0.000 0.000 0.000
Mo 0.000 3.085 2.483
```

The value obtained for the total energy is -7.73 eV/atom. The total magnetization is 0.00 μB per atom.

# 2
Computed, not measured: crystalline TcSb2Mo at its relaxed geometry at the PBE level of DFT.

The structure in extended XYZ format:
```
4
Lattice="3.116 0.000 0.000 0.000 4.163 0.000 0.000 0.000 5.791" Properties=species:S:1:pos:R:3 pbc="T T T"
Tc 0.000 0.000 0.000
Sb 0.000 0.000 2.745
Sb 1.558 2.082 4.778
Mo 1.558 2.082 1.731
```

The value obtained for the total energy is -7.09 eV/atom. The excess energy over the best structure of this formula in the dataset is 205 meV per atom. The total magnetization is 0.00 μB per atom.

# 3
Computed, not measured: crystalline TcSbMo2 at its relaxed geometry at the PBE level of DFT.

The structure in extended XYZ format:
```
4
Lattice="2.961 0.000 0.000 0.000 4.431 0.000 -0.629 0.000 5.167" Properties=species:S:1:pos:R:3 pbc="T T T"
Tc 0.000 0.000 0.000
Sb -0.437 2.215 3.683
Mo 0.930 0.000 2.397
Mo 1.711 2.215 1.074
```

The value obtained for the total energy is -8.75 eV/atom. The total magnetization is 0.00 μB per atom.

# 4
Computed, not measured: crystalline TcSb2Mo at its relaxed geometry at the PBE level of DFT.

The structure in extended XYZ format:
```
4
Lattice="3.297 0.000 0.000 0.000 3.297 0.000 0.000 0.000 6.566" Properties=species:S:1:pos:R:3 pbc="T T T"
Tc 0.000 0.000 0.000
Sb 1.649 1.649 1.635
Sb 1.649 1.649 4.931
Mo 0.000 0.000 3.283
```

The value obtained for the total energy is -7.16 eV/atom. The excess energy over the best structure of this formula in the dataset is 135 meV per atom. The total magnetization is 0.00 μB per atom.

# 5
Computed, not measured: crystalline TcSbMo at its relaxed geometry at the PBE level of DFT.

The structure in extended XYZ format:
```
3
Lattice="0.000 3.075 3.075 3.075 0.000 3.075 3.075 3.075 0.000" Properties=species:S:1:pos:R:3 pbc="T T T"
Tc 0.000 0.000 0.000
Sb 1.538 1.538 1.538
Mo 4.613 4.613 4.613
```

The value obtained for the total energy is -8.36 eV/atom. The excess energy over the best structure of this formula in the dataset is 0 meV per atom. The total magnetization is 0.00 μB per atom.

# 6
Computed, not measured: crystalline Tc2SbMo at its relaxed geometry at the PBE level of DFT.

The structure in extended XYZ format:
```
4
Lattice="4.627 -1.518 0.000 4.627 1.518 0.000 -1.104 0.000 4.713" Properties=species:S:1:pos:R:3 pbc="T T T"
Tc 1.989 0.000 1.033
Tc 6.162 0.000 3.680
Sb -0.552 0.000 2.356
Mo 4.627 0.000 0.000
```

The value obtained for the total energy is -8.66 eV/atom. The total magnetization is 0.00 μB per atom.

# 7
Computed, not measured: crystalline Tc2SbMo at its relaxed geometry at the PBE level of DFT.

The structure in extended XYZ format:
```
4
Lattice="2.991 0.000 0.000 0.000 4.155 0.000 -0.010 0.000 5.304" Properties=species:S:1:pos:R:3 pbc="T T T"
Tc 0.000 0.000 0.000
Tc 1.491 2.078 1.276
Sb 1.485 2.078 3.942
Mo 2.980 0.000 2.476
```

The value obtained for the total energy is -8.69 eV/atom. The total magnetization is 0.00 μB per atom.

# 8
Computed, not measured: crystalline Tc2SbMo at its relaxed geometry at the PBE level of DFT.

The structure in extended XYZ format:
```
4
Lattice="1.504 0.868 8.558 -1.504 0.868 8.558 0.000 -1.737 8.558" Properties=species:S:1:pos:R:3 pbc="T T T"
Tc 0.000 0.000 6.320
Tc 0.000 0.000 19.355
Sb 0.000 0.000 0.000
Mo 0.000 0.000 12.837
```

The value obtained for the total energy is -8.62 eV/atom. The total magnetization is 0.00 μB per atom.

One value per record, in order, for raw formation energy: 1196, 272, 286, 202, 84, 261, 228, 302 meV per atom.